Compound: CaCo2
Source: the Alexandria database
Functional: SCAN
Structure: single point on PBEsol structure

Structure (CIF):
```
data_CaCo2
_chemical_formula_sum 'Ca4 Co8'
_cell_length_a 3.886
_cell_length_b 15.511
_cell_length_c 4.000
_cell_angle_alpha 90.00
_cell_angle_beta 90.00
_cell_angle_gamma 90.00
_symmetry_space_group_name_H-M 'C m c m'
_symmetry_Int_Tables_number 63
_symmetry_space_group_name_Hall '-C 2c 2'
loop_
_atom_site_label
_atom_site_fract_x
_atom_site_fract_y
_atom_site_fract_z
Ca1 0.000 0.104 0.250
Co1 0.000 0.251 0.750
Co2 0.000 0.320 0.250
```

Results
Calculated volume ... 241.1 Å³ per cell
Density of states at the Fermi level ... 8.86 states/eV per cell
Final energy ... -14.5160 eV/atom
E_form ... 241 meV/atom